DFT (PBE) results for a geometry-optimized La2PmDy7 structure.

```
La2PmDy7
1.0
3.298 -14.546 0.000
3.298 14.546 0.000
0.000 0.000 3.518
La Pm Dy
2 1 7
direct
0.206 0.794 0.000
0.794 0.206 0.000
0.500 0.500 0.500
0.000 0.000 0.000
0.156 0.352 0.000
0.315 0.685 0.500
0.352 0.156 0.000
0.648 0.844 0.000
0.685 0.315 0.500
0.844 0.648 0.000
```

## Properties
Distance to the lowest polymorph of the same formula (eV per atom): 0.138
DFT formation energy (eV per atom): 0.16
E (eV/atom): -4.52
Calculated volume (Å³/atom): 33.75



DFT (PBE) results for a geometry-optimized LaPm4Dy5 structure.

```
LaPm4Dy5
1.0
12.886 -1.806 0.000
12.886 1.806 0.000
-1.008 0.000 7.128
La Pm Dy
1 4 5
direct
0.000 0.000 0.000
0.398 0.398 0.201
0.398 0.398 0.696
0.602 0.602 0.304
0.602 0.602 0.799
0.000 0.000 0.500
0.201 0.201 0.101
0.202 0.202 0.601
0.798 0.798 0.399
0.799 0.799 0.899
```

## Properties
DFT formation energy (eV per atom): 0.02
E (eV/atom): -4.68
Calculated volume (Å³/atom): 33.18



DFT (PBE) results for a geometry-optimized LaPm7Dy12 structure.

```
LaPm7Dy12
1.0
6.141 3.545 5.154
-6.141 3.545 5.154
0.000 -7.091 5.154
La Pm Dy
1 7 12
direct
0.000 0.000 0.000
0.001 0.639 0.122
0.122 0.001 0.639
0.361 0.878 0.999
0.500 0.500 0.500
0.639 0.122 0.001
0.878 0.999 0.361
0.999 0.361 0.878
0.115 0.345 0.443
0.223 0.632 0.761
0.239 0.777 0.368
0.345 0.443 0.115
0.368 0.239 0.777
0.443 0.115 0.345
0.557 0.885 0.655
0.632 0.761 0.223
0.655 0.557 0.885
0.761 0.223 0.632
0.777 0.368 0.239
0.885 0.655 0.557
```

## Properties
Distance to the lowest polymorph of the same formula (eV per atom): 0.000
DFT formation energy (eV per atom): 0.23
E (eV/atom): -4.44
Calculated volume (Å³/atom): 33.66



DFT (PBE) results for a geometry-optimized La2Pm2Dy5 structure.

```
La2Pm2Dy5
1.0
10.880 -1.758 0.000
10.880 1.758 0.000
-1.527 0.000 8.269
La Pm Dy
2 2 5
direct
0.183 0.183 0.145
0.817 0.817 0.855
0.454 0.454 0.643
0.546 0.546 0.357
0.000 0.000 0.000
0.100 0.100 0.738
0.310 0.310 0.472
0.690 0.690 0.528
0.900 0.900 0.262
```

## Properties
Distance to the lowest polymorph of the same formula (eV per atom): 0.024
DFT formation energy (eV per atom): 0.22
E (eV/atom): -4.49
Calculated volume (Å³/atom): 35.15



DFT (PBE) results for a geometry-optimized LaPm10Dy4 structure.

```
LaPm10Dy4
1.0
-6.383 6.383 3.428
6.383 -6.383 3.428
6.383 6.383 -3.428
La Pm Dy
1 10 4
direct
0.000 0.000 0.000
0.043 0.624 0.162
0.118 0.957 0.581
0.250 0.750 0.500
0.376 0.537 0.419
0.463 0.882 0.838
0.537 0.118 0.162
0.624 0.463 0.581
0.750 0.250 0.500
0.882 0.043 0.419
0.957 0.376 0.838
0.323 0.433 0.755
0.433 0.677 0.110
0.567 0.323 0.890
0.677 0.567 0.245
```

## Properties
DFT formation energy (eV per atom): 0.51
E (eV/atom): -4.21
Calculated volume (Å³/atom): 37.24



DFT (PBE) results for a geometry-optimized La5Pm5Dy structure.

```
La5Pm5Dy
1.0
9.647 -3.087 0.000
9.647 3.087 0.000
-2.602 0.000 6.659
La Pm Dy
5 5 1
direct
0.000 0.000 0.000
0.326 0.326 0.070
0.326 0.326 0.583
0.674 0.674 0.417
0.674 0.674 0.930
0.124 0.124 0.627
0.169 0.169 0.171
0.500 0.500 0.500
0.831 0.831 0.829
0.876 0.876 0.373
0.500 0.500 0.000
```

## Properties
DFT formation energy (eV per atom): 0.22
E (eV/atom): -4.59
Calculated volume (Å³/atom): 36.05



DFT (PBE) results for a geometry-optimized La5Pm2Dy5 structure.

```
La5Pm2Dy5
1.0
7.770 -2.575 0.000
7.770 2.575 0.000
-5.194 0.000 10.277
La Pm Dy
5 2 5
direct
0.000 0.000 0.000
0.082 0.082 0.750
0.249 0.249 0.250
0.751 0.751 0.750
0.918 0.918 0.250
0.166 0.166 0.499
0.834 0.834 0.501
0.333 0.333 0.000
0.416 0.416 0.748
0.500 0.500 0.500
0.584 0.584 0.252
0.667 0.667 0.000
```

## Properties
DFT formation energy (eV per atom): 0.03
E (eV/atom): -4.74
Calculated volume (Å³/atom): 34.27



DFT (PBE) results for a geometry-optimized La8Pm5Dy structure.

```
La8Pm5Dy
1.0
-4.964 4.964 5.181
4.964 -4.964 5.181
4.964 4.964 -5.181
La Pm Dy
8 5 1
direct
0.077 0.339 0.602
0.174 0.442 0.106
0.336 0.069 0.894
0.525 0.923 0.262
0.558 0.664 0.733
0.661 0.263 0.738
0.737 0.475 0.398
0.931 0.826 0.267
0.029 0.721 0.898
0.279 0.177 0.308
0.500 0.500 0.000
0.823 0.131 0.102
0.869 0.971 0.692
0.250 0.750 0.500
```

## Properties
DFT formation energy (eV per atom): 0.23
E (eV/atom): -4.62
Calculated volume (Å³/atom): 36.48